(1)
The following is a PBE calculation of a geometry-optimized ZnCr2Cu structure, from the Alexandria database.

## Properties
As for the spin magnetization: 0.00 μB per cell. The value obtained for the formation energy is 5.8 kcal/mol of atoms. The theoretical density comes out at 7.87 g/cm³.

```
data_ZnCr2Cu
_space_group_name_H-M_alt 'C 1 m 1'
_space_group_IT_number 8
_cell_length_a 8.4329
_cell_length_b 2.4392
_cell_length_c 4.7941
_cell_angle_alpha 90.00
_cell_angle_beta 94.14
_cell_angle_gamma 90.00
loop_
_space_group_symop_operation_xyz
'x,y,z'
'x,-y,z'
'x+1/2,y+1/2,z'
'x+1/2,-y+1/2,z'
loop_
_atom_site_label
_atom_site_fract_x
_atom_site_fract_y
_atom_site_fract_z
Zn1 0.0000 0.0000 0.0000
Cr1 0.2521 0.0000 0.7163
Cr2 0.4893 0.0000 0.5069
Cu1 0.2457 0.5000 0.2266
```

=====

(2)
The following is a PBE calculation of a geometry-optimized CsTlSbS3 structure, from the Alexandria database.

## Properties
As for the spin magnetization: 0.00 μB per cell. The theoretical density comes out at 3.93 g/cm³. For the uncorrected formation energy, the calculation gives -462 meV per atom.

```
data_CsTlSbS3
_space_group_name_H-M_alt 'C 1 2/m 1'
_space_group_IT_number 12
_cell_length_a 12.6299
_cell_length_b 8.9432
_cell_length_c 9.7298
_cell_angle_alpha 90.00
_cell_angle_beta 121.43
_cell_angle_gamma 90.00
loop_
_space_group_symop_operation_xyz
'x,y,z'
'-x,-y,-z'
'-x,y,-z'
'x,-y,z'
'x+1/2,y+1/2,z'
'-x+1/2,-y+1/2,-z'
'-x+1/2,y+1/2,-z'
'x+1/2,-y+1/2,z'
loop_
_atom_site_label
_atom_site_fract_x
_atom_site_fract_y
_atom_site_fract_z
Cs1 0.1895 0.0000 0.1915
Tl1 0.0000 0.1804 0.5000
Sb1 0.0287 0.5000 0.1676
S1 0.0733 0.2808 0.8287
S2 0.2396 0.5000 0.3739
```

=====

(3)
The following is a PBE calculation of a geometry-optimized TbHo5Th3 structure, from the Alexandria database.

## Properties
As for the spin magnetization: 0.00 μB per cell. The value obtained for the formation energy is 12.8 kcal/mol of atoms. The theoretical density comes out at 8.89 g/cm³.

```
data_TbHo5Th3
_space_group_name_H-M_alt 'C 1 2/m 1'
_space_group_IT_number 12
_cell_length_a 12.5327
_cell_length_b 8.2063
_cell_length_c 12.2761
_cell_angle_alpha 90.00
_cell_angle_beta 96.25
_cell_angle_gamma 90.00
loop_
_space_group_symop_operation_xyz
'x,y,z'
'-x,-y,-z'
'-x,y,-z'
'x,-y,z'
'x+1/2,y+1/2,z'
'-x+1/2,-y+1/2,-z'
'-x+1/2,y+1/2,-z'
'x+1/2,-y+1/2,z'
loop_
_atom_site_label
_atom_site_fract_x
_atom_site_fract_y
_atom_site_fract_z
Tb1 0.1387 0.0000 0.2667
Ho1 0.0000 0.3283 0.0000
Ho2 0.0561 0.5000 0.6219
Ho3 0.1336 0.1946 0.7744
Ho4 0.2441 0.5000 0.9776
Th1 0.0000 0.0000 0.0000
Th2 0.0000 0.0000 0.5000
Th3 0.1236 0.5000 0.2165
Th4 0.2393 0.5000 0.4561
```

=====

(4)
The following is a PBE calculation of a geometry-optimized Dy14TmAl structure, from the Alexandria database.

## Properties
As for the spin magnetization: 0.00 μB per cell. The value obtained for the formation energy is 0.1 kcal/mol of atoms. The theoretical density comes out at 8.39 g/cm³.

```
data_Dy14TmAl
_space_group_name_H-M_alt 'A m m 2'
_space_group_IT_number 38
_cell_length_a 10.7656
_cell_length_b 8.3459
_cell_length_c 10.8863
_cell_angle_alpha 90.00
_cell_angle_beta 90.00
_cell_angle_gamma 90.00
loop_
_space_group_symop_operation_xyz
'x,y,z'
'-x,-y,z'
'-x,y,z'
'x,-y,z'
'x,y+1/2,z+1/2'
'-x,-y+1/2,z+1/2'
'-x,y+1/2,z+1/2'
'x,-y+1/2,z+1/2'
loop_
_atom_site_label
_atom_site_fract_x
_atom_site_fract_y
_atom_site_fract_z
Dy1 0.0000 0.0000 0.0000
Dy2 0.0000 0.0000 0.4511
Dy3 0.0000 0.2007 0.7292
Dy4 0.2259 0.0000 0.2287
Dy5 0.2633 0.2057 0.5122
Dy6 0.2805 0.0000 0.7917
Dy7 0.5000 0.2058 0.2946
Tm1 0.5000 0.0000 0.0246
Al1 0.5000 0.0000 0.5777
```

=====

(5)
The following is a PBE calculation of a geometry-optimized RbGaGe structure, from the Alexandria database.

## Properties
As for the spin magnetization: 0.00 μB per cell. The value obtained for the formation energy is 6.5 kcal/mol of atoms. The theoretical density comes out at 4.11 g/cm³.

```
data_RbGaGe
_space_group_name_H-M_alt 'A e m 2'
_space_group_IT_number 39
_cell_length_a 7.9318
_cell_length_b 6.3419
_cell_length_c 7.3272
_cell_angle_alpha 90.00
_cell_angle_beta 90.00
_cell_angle_gamma 90.00
loop_
_space_group_symop_operation_xyz
'x,y,z'
'-x,-y,z'
'-x,y+1/2,z'
'x,-y+1/2,z'
'x,y+1/2,z+1/2'
'-x,-y+1/2,z+1/2'
'-x,y,z+1/2'
'x,-y,z+1/2'
loop_
_atom_site_label
_atom_site_fract_x
_atom_site_fract_y
_atom_site_fract_z
Rb1 0.0000 0.0000 0.0000
Ga1 0.4043 0.2500 0.1194
Ge1 0.3190 0.2500 0.7708
```

=====

(6)
The following is a PBE calculation of a geometry-optimized Sr2LiB2O6 structure, from the Alexandria database.

## Properties
As for the spin magnetization: 2.01 μB per cell. The theoretical density comes out at 3.67 g/cm³. For the uncorrected formation energy, the calculation gives -2517 meV per atom.

```
data_Sr2LiB2O6
_space_group_name_H-M_alt 'C 1 2/m 1'
_space_group_IT_number 12
_cell_length_a 9.7368
_cell_length_b 5.1020
_cell_length_c 6.1717
_cell_angle_alpha 90.00
_cell_angle_beta 117.80
_cell_angle_gamma 90.00
loop_
_space_group_symop_operation_xyz
'x,y,z'
'-x,-y,-z'
'-x,y,-z'
'x,-y,z'
'x+1/2,y+1/2,z'
'-x+1/2,-y+1/2,-z'
'-x+1/2,y+1/2,-z'
'x+1/2,-y+1/2,z'
loop_
_atom_site_label
_atom_site_fract_x
_atom_site_fract_y
_atom_site_fract_z
Sr1 0.2010 0.0000 0.1920
Li1 0.0000 0.0000 0.5000
B1 0.0322 0.5000 0.2559
O1 0.0483 0.2667 0.7855
O2 0.1910 0.5000 0.3443
```

=====

(7)
The following is a PBE calculation of a geometry-optimized KSnB structure, from the Alexandria database.

## Properties
As for the spin magnetization: 0.00 μB per cell. The value obtained for the formation energy is 4.6 kcal/mol of atoms. The theoretical density comes out at 3.66 g/cm³.

```
data_KSnB
_space_group_name_H-M_alt 'I m m m'
_space_group_IT_number 71
_space_group_name_Hall '-I 2 2'
_cell_length_a 3.8945
_cell_length_b 6.9430
_cell_length_c 11.3114
_cell_angle_alpha 90.00
_cell_angle_beta 90.00
_cell_angle_gamma 90.00
loop_
_atom_site_label
_atom_site_fract_x
_atom_site_fract_y
_atom_site_fract_z
K1 0.0000 0.0000 0.2497
Sn1 0.0000 0.2956 0.0000
B1 0.0000 0.3818 0.5000
```

=====

(8)
The following is a PBE calculation of a geometry-optimized Ni2SbOs structure, from the Alexandria database.

## Properties
As for the spin magnetization: 0.00 μB per cell. The theoretical density comes out at 12.29 g/cm³. For the uncorrected formation energy, the calculation gives 327 meV per atom.

```
data_Ni2SbOs
_space_group_name_H-M_alt 'C 1 2/m 1'
_space_group_IT_number 12
_cell_length_a 8.6288
_cell_length_b 2.9854
_cell_length_c 4.5932
_cell_angle_alpha 90.00
_cell_angle_beta 101.26
_cell_angle_gamma 90.00
loop_
_space_group_symop_operation_xyz
'x,y,z'
'-x,-y,-z'
'-x,y,-z'
'x,-y,z'
'x+1/2,y+1/2,z'
'-x+1/2,-y+1/2,-z'
'-x+1/2,y+1/2,-z'
'x+1/2,-y+1/2,z'
loop_
_atom_site_label
_atom_site_fract_x
_atom_site_fract_y
_atom_site_fract_z
Ni1 0.2438 0.0000 0.2267
Sb1 0.0000 0.0000 0.5000
Os1 0.0000 0.5000 0.0000
```

=====

(9)
The following is a PBE calculation of a geometry-optimized HfAgIO2 structure, from the Alexandria database.

## Properties
As for the spin magnetization: 0.00 μB per cell. The theoretical density comes out at 7.95 g/cm³. For the uncorrected formation energy, the calculation gives 471 meV per atom. As for the energy above the lowest structure with this stoichiometry: 198.6 kJ/mol of atoms.

```
data_HfAgIO2
_space_group_name_H-M_alt 'P 4/m m m'
_space_group_IT_number 123
_space_group_name_Hall '-P 4 2'
_cell_length_a 4.2162
_cell_length_b 4.2162
_cell_length_c 5.2286
_cell_angle_alpha 90.00
_cell_angle_beta 90.00
_cell_angle_gamma 90.00
loop_
_atom_site_label
_atom_site_fract_x
_atom_site_fract_y
_atom_site_fract_z
Hf1 0.0000 0.0000 0.0000
Ag1 0.5000 0.5000 0.5000
I1 0.5000 0.5000 0.0000
O1 0.0000 0.5000 0.5000
```

=====

(10)
The following is a PBE calculation of a geometry-optimized Sr2PuZnN4 structure, from the Alexandria database.

## Properties
As for the spin magnetization: 3.86 μB per cell. The theoretical density comes out at 6.84 g/cm³. For the uncorrected formation energy, the calculation gives -633 meV per atom.

```
data_Sr2PuZnN4
_space_group_name_H-M_alt 'P m n 21'
_space_group_IT_number 31
_cell_length_a 10.8159
_cell_length_b 4.9131
_cell_length_c 4.9391
_cell_angle_alpha 90.00
_cell_angle_beta 90.00
_cell_angle_gamma 90.00
loop_
_space_group_symop_operation_xyz
'x,y,z'
'-x+1/2,-y,z+1/2'
'-x,y,z'
'x+1/2,-y,z+1/2'
loop_
_atom_site_label
_atom_site_fract_x
_atom_site_fract_y
_atom_site_fract_z
Sr1 0.2494 0.2477 0.0000
Pu1 0.0000 0.2524 0.4993
Zn1 0.0000 0.6884 0.9380
N1 0.0000 0.3022 0.0254
N2 0.0000 0.7726 0.5532
N3 0.1779 0.2522 0.5002
```

=====

(11)
The following is a PBE calculation of a geometry-optimized KLiH2 structure, from the Alexandria database.

## Properties
As for the spin magnetization: 0.00 μB per cell. The theoretical density comes out at 1.37 g/cm³. As for the energy above the lowest structure with this stoichiometry: 9.8 kJ/mol of atoms.

```
data_KLiH2
_space_group_name_H-M_alt 'R -3 m'
_space_group_IT_number 166
_space_group_name_Hall '-R 3 2"'
_cell_length_a 3.4114
_cell_length_b 3.4114
_cell_length_c 17.3658
_cell_angle_alpha 90.00
_cell_angle_beta 90.00
_cell_angle_gamma 120.00
loop_
_atom_site_label
_atom_site_fract_x
_atom_site_fract_y
_atom_site_fract_z
K1 0.0000 0.0000 0.0000
Li1 0.0000 0.0000 0.5000
H1 0.0000 0.0000 0.2307
```

=====

(12)
The following is a PBE calculation of a geometry-optimized CoTc2Br structure, from the Alexandria database.

## Properties
As for the spin magnetization: 1.58 μB per cell. The theoretical density comes out at 8.26 g/cm³. For the uncorrected formation energy, the calculation gives 454 meV per atom. As for the energy above the lowest structure with this stoichiometry: 0.0 kJ/mol of atoms.

```
data_CoTc2Br
_space_group_name_H-M_alt 'P 1 m 1'
_space_group_IT_number 6
_cell_length_a 3.1412
_cell_length_b 3.0251
_cell_length_c 7.0842
_cell_angle_alpha 90.00
_cell_angle_beta 90.02
_cell_angle_gamma 90.00
loop_
_space_group_symop_operation_xyz
'x,y,z'
'x,-y,z'
loop_
_atom_site_label
_atom_site_fract_x
_atom_site_fract_y
_atom_site_fract_z
Co1 0.0000 0.0000 0.0000
Tc1 0.0000 0.0000 0.3940
Tc2 0.4997 0.5000 0.2004
Br1 0.0018 0.5000 0.7074
```